#one
Below is an optimized crystal structure of K2TaPt, with properties calculated at the PBE-GGA level.

a = 2.9434 Å, b = 2.9434 Å, c = 11.9398 Å
α = 90.00°, β = 90.00°, γ = 116.74°
Element x y z (fractional)
K 0.0000 0.0000 0.4730
K 0.0000 0.0000 0.0270
Ta 0.5000 0.5000 0.7500
Pt 0.5000 0.5000 0.2500

Size of the total moment in μB per cell: 0.000
D(E_F) in states/eV/f.u.: 3.32

#two
Below is an optimized crystal structure of K2TaPt, with properties calculated at the PBE-GGA level.

a = 3.9377 Å, b = 3.9377 Å, c = 5.9841 Å
α = 90.00°, β = 90.00°, γ = 90.00°
Element x y z (fractional)
Ta 0.0000 0.5000 0.5000
K 0.5000 0.5000 0.0000
K 0.0000 0.0000 0.0000
Pt 0.5000 0.0000 0.5000

Size of the total moment in μB per cell: 0.001
D(E_F) in states/eV/f.u.: 4.71

Name the least stable of them. #one.

#one
Below is an optimized crystal structure of K2TaPt, with properties calculated at the PBE-GGA level.

a = 6.9796 Å, b = 6.9796 Å, c = 6.9796 Å
α = 149.21°, β = 127.77°, γ = 61.86°
Element x y z (fractional)
Pt 0.4573 0.4573 0.0000
K 0.0106 0.0106 0.0000
K 0.7079 0.2079 0.5000
Ta 0.3242 0.8242 0.5000

Size of the total moment in μB per cell: 2.037
D(E_F) in states/eV/f.u.: 3.93

#two
Below is an optimized crystal structure of K2TaPt, with properties calculated at the PBE-GGA level.

a = 6.5022 Å, b = 6.5022 Å, c = 2.9060 Å
α = 90.00°, β = 90.00°, γ = 129.66°
Element x y z (fractional)
Ta 0.0000 0.5000 0.5000
Pt 0.5000 0.0000 0.5000
K 0.5000 0.5000 0.0000
K 0.0000 0.0000 0.0000

Size of the total moment in μB per cell: 0.216
D(E_F) in states/eV/f.u.: 3.02

Name the least stable of them. #two.

#one
Below is an optimized crystal structure of K2TaPt, with properties calculated at the PBE-GGA level.

a = 5.0967 Å, b = 5.0967 Å, c = 5.0967 Å
α = 119.97°, β = 119.97°, γ = 90.05°
Element x y z (fractional)
Ta 0.7500 0.2500 0.5000
Pt 0.5000 0.5000 0.0000
K 0.0000 0.0000 0.0000
K 0.2500 0.7500 0.5000

Size of the total moment in μB per cell: 0.878
D(E_F) in states/eV/f.u.: 3.87

#two
Below is an optimized crystal structure of K2TaPt, with properties calculated at the PBE-GGA level.

a = 11.8261 Å, b = 11.8261 Å, c = 8.7207 Å
α = 47.31°, β = 47.31°, γ = 90.00°
Element x y z (fractional)
Ta 0.5000 0.5000 0.0000
Ta 0.2500 0.7500 0.5000
Pt 0.0000 0.0000 0.0000
Pt 0.7500 0.2500 0.5000
K 0.7722 0.1250 0.2500
K 0.9778 0.6250 0.2500
K 0.8750 0.0222 0.7500
K 0.3750 0.2278 0.7500

Size of the total moment in μB per cell: 5.129
D(E_F) in states/eV/f.u.: 5.39

Name the least stable of them. #one.

#one
Below is an optimized crystal structure of KTa3Pt, with properties calculated at the PBE-GGA level.

a = 5.0359 Å, b = 5.0359 Å, c = 5.0359 Å
α = 90.00°, β = 90.00°, γ = 90.00°
Element x y z (fractional)
Ta 0.0000 0.5000 0.0000
Ta 0.0000 0.0000 0.5000
Ta 0.5000 0.0000 0.0000
K 0.5000 0.5000 0.5000
Pt 0.0000 0.0000 0.0000

Size of the total moment in μB per cell: 0.000
D(E_F) in states/eV/f.u.: 4.92

#two
Below is an optimized crystal structure of KTa3Pt, with properties calculated at the PBE-GGA level.

a = 4.5411 Å, b = 4.5411 Å, c = 4.5411 Å
α = 90.00°, β = 90.00°, γ = 90.00°
Element x y z (fractional)
Ta 0.0000 0.5000 0.0000
Ta 0.0000 0.0000 0.5000
Ta 0.5000 0.0000 0.0000
K 0.0000 0.0000 0.0000
Pt 0.5000 0.5000 0.5000

Size of the total moment in μB per cell: 0.000
D(E_F) in states/eV/f.u.: 6.40

Name the least stable of them. #two.